First-principles (PBE) data for CaSiPO2 after structural relaxation, as listed in Alexandria via LeMat-Bulk.

```
data_CaSiPO2
_cell_length_a 3.741
_cell_length_b 3.741
_cell_length_c 4.673
_cell_angle_alpha 90.00
_cell_angle_beta 90.00
_cell_angle_gamma 90.00
_symmetry_space_group_name_H-M 'P 1'
_symmetry_Int_Tables_number 1
loop_
_symmetry_equiv_pos_as_xyz
'x,y,z'
loop_
_atom_site_label
_atom_site_type_symbol
_atom_site_fract_x
_atom_site_fract_y
_atom_site_fract_z
_atom_site_occupancy
Ca1 Ca 0.000 0.000 0.000 1
Si1 Si 0.500 0.500 0.500 1
P1 P 0.500 0.500 0.000 1
O1 O 0.000 0.500 0.500 1
O2 O 0.500 0.000 0.500 1
```

Calculated values
The uncorrected formation energy is -1.28 eV/atom. The calculation puts the density at 3.3 g/cm3. The calculation puts the polymorph energy (0 for the lowest one) at 0 meV/atom.

First-principles (PBE) data for Np2TlO6 after structural relaxation, as listed in Alexandria via LeMat-Bulk.

```
data_Np2TlO6
_cell_length_a 5.896
_cell_length_b 5.896
_cell_length_c 5.854
_cell_angle_alpha 90.00
_cell_angle_beta 90.00
_cell_angle_gamma 120.00
_symmetry_space_group_name_H-M 'P 1'
_symmetry_Int_Tables_number 1
loop_
_symmetry_equiv_pos_as_xyz
'x,y,z'
loop_
_atom_site_label
_atom_site_type_symbol
_atom_site_fract_x
_atom_site_fract_y
_atom_site_fract_z
_atom_site_occupancy
Np1 Np 0.333 0.667 0.000 1
Np2 Np 0.667 0.333 0.000 1
Tl1 Tl 0.000 0.000 0.500 1
O1 O 0.000 0.383 0.180 1
O2 O 0.000 0.617 0.820 1
O3 O 0.383 0.000 0.180 1
O4 O 0.383 0.383 0.820 1
O5 O 0.617 0.000 0.820 1
O6 O 0.617 0.617 0.180 1
```

Calculated values
The uncorrected formation energy is -2.46 eV/atom. The calculation puts the density at 7.3 g/cm3.

First-principles (PBE) data for Zr4BeTc2 after structural relaxation, as listed in Alexandria via LeMat-Bulk.

```
data_Zr4BeTc2
_cell_length_a 7.874
_cell_length_b 7.874
_cell_length_c 7.874
_cell_angle_alpha 34.05
_cell_angle_beta 34.05
_cell_angle_gamma 34.05
_symmetry_space_group_name_H-M 'P 1'
_symmetry_Int_Tables_number 1
loop_
_symmetry_equiv_pos_as_xyz
'x,y,z'
loop_
_atom_site_label
_atom_site_type_symbol
_atom_site_fract_x
_atom_site_fract_y
_atom_site_fract_z
_atom_site_occupancy
Zr1 Zr 0.121 0.121 0.121 1
Zr2 Zr 0.372 0.372 0.372 1
Zr3 Zr 0.628 0.628 0.628 1
Zr4 Zr 0.879 0.879 0.879 1
Be1 Be 0.500 0.500 0.500 1
Tc1 Tc 0.246 0.246 0.246 1
Tc2 Tc 0.754 0.754 0.754 1
```

Calculated values
The calculation puts the density at 6.9 g/cm3. Its total energy is -59.38 eV per formula unit.

First-principles (PBE) data for Pm3Sm2TmSb6 after structural relaxation, as listed in Alexandria via LeMat-Bulk.

```
data_Pm3Sm2TmSb6
_cell_length_a 9.970
_cell_length_b 9.970
_cell_length_c 8.917
_cell_angle_alpha 102.89
_cell_angle_beta 102.89
_cell_angle_gamma 25.86
_symmetry_space_group_name_H-M 'P 1'
_symmetry_Int_Tables_number 1
loop_
_symmetry_equiv_pos_as_xyz
'x,y,z'
loop_
_atom_site_label
_atom_site_type_symbol
_atom_site_fract_x
_atom_site_fract_y
_atom_site_fract_z
_atom_site_occupancy
Pm1 Pm 0.000 0.000 0.000 1
Pm2 Pm 0.332 0.332 0.666 1
Pm3 Pm 0.668 0.668 0.334 1
Sm1 Sm 0.334 0.334 0.167 1
Sm2 Sm 0.666 0.666 0.833 1
Tm1 Tm 0.000 0.000 0.500 1
Sb1 Sb 0.164 0.164 0.583 1
Sb2 Sb 0.167 0.167 0.083 1
Sb3 Sb 0.500 0.500 0.257 1
Sb4 Sb 0.500 0.500 0.743 1
Sb5 Sb 0.833 0.833 0.917 1
Sb6 Sb 0.836 0.836 0.417 1
```

Calculated values
The uncorrected formation energy is -1.16 eV/atom. The calculation puts the density at 7.2 g/cm3.

Please write out number 2 again, unchanged.
First-principles (PBE) data for Np2TlO6 after structural relaxation, as listed in Alexandria via LeMat-Bulk.

```
data_Np2TlO6
_cell_length_a 5.896
_cell_length_b 5.896
_cell_length_c 5.854
_cell_angle_alpha 90.00
_cell_angle_beta 90.00
_cell_angle_gamma 120.00
_symmetry_space_group_name_H-M 'P 1'
_symmetry_Int_Tables_number 1
loop_
_symmetry_equiv_pos_as_xyz
'x,y,z'
loop_
_atom_site_label
_atom_site_type_symbol
_atom_site_fract_x
_atom_site_fract_y
_atom_site_fract_z
_atom_site_occupancy
Np1 Np 0.333 0.667 0.000 1
Np2 Np 0.667 0.333 0.000 1
Tl1 Tl 0.000 0.000 0.500 1
O1 O 0.000 0.383 0.180 1
O2 O 0.000 0.617 0.820 1
O3 O 0.383 0.000 0.180 1
O4 O 0.383 0.383 0.820 1
O5 O 0.617 0.000 0.820 1
O6 O 0.617 0.617 0.180 1
```

Calculated values
The uncorrected formation energy is -2.46 eV/atom. The calculation puts the density at 7.3 g/cm3.